A relaxed VNO2 crystal, computed with GGA+U.

It has space group R-3m (No. 166, hexagonal axes), with a = 3.0703 Å, b = 3.0703 Å, c = 17.2920 Å, α = 90.00°, β = 90.00° and γ = 120.00°. The distinct sites, in fractional coordinates, are V at (0.0000, 0.0000, 0.0000), N at (0.0000, 0.0000, 0.5000) and O at (0.0000, 0.0000, 0.1061).

Its final energy is -5.23 eV per atom. The value obtained for the spin magnetization is 10.79 μB per cell.


A relaxed V2NO2 crystal, computed with GGA+U.

It has space group I4/mmm (No. 139), with a = 3.8929 Å, b = 3.8929 Å, c = 7.0713 Å, α = 90.00°, β = 90.00° and γ = 90.00°. The distinct sites, in fractional coordinates, are V at (0.0000, 0.5000, 0.2500), N at (0.0000, 0.0000, 0.0000) and O at (0.0000, 0.0000, 0.3319).

Its final energy is -7.00 eV per atom. The value obtained for the spin magnetization is 6.02 μB per cell.


A relaxed VN3O crystal, computed with GGA+U.

It has space group Pm-3m (No. 221), with a = 3.8517 Å, b = 3.8517 Å, c = 3.8517 Å, α = 90.00°, β = 90.00° and γ = 90.00°. The distinct sites, in fractional coordinates, are V at (0.0000, 0.0000, 0.0000), N at (0.0000, 0.0000, 0.5000) and O at (0.5000, 0.5000, 0.5000).

Its final energy is -5.65 eV per atom. The value obtained for the spin magnetization is 4.10 μB per cell.